VASP calculation (PBE) on a relaxed structure of Be2ReTe.

The formation energy from raw total energies comes out at 782 meV per atom. The calculation puts the total magnetization at 0.05 μB/atom. The density of states at the Fermi level comes out at 2.35 states/eV/f.u.

The space group is C2/m (No. 12) and the conventional cell measures 5.302, 8.493 and 3.163 Å, with angles of 90.00, 122.32 and 90.00 degrees. The asymmetric unit holds Be at (0.250, 0.250, 0.000), Re at (0.000, 0.000, 0.000) and Te at (0.000, 0.500, 0.000).